SmGdHg6: optimized geometry, PBE-GGA.

Unit cell a=6.676 b=6.676 c=5.008 alpha=90.00 beta=90.00 gamma=120.00
Sites, in units of the cell vectors:
Sm  0.000  0.000  0.000
Gd  0.667  0.333  0.500
Hg  0.001  0.500  0.000
Hg  0.169  0.339  0.500
Hg  0.169  0.831  0.500
Hg  0.500  0.500  0.000
Hg  0.500  0.999  0.000
Hg  0.661  0.831  0.500

Values from the calculation:
Volume = 193 Å³ per cell
Energy of formation from the pure elements = -376 meV per atom

SrGdHg6: optimized geometry, PBE-GGA.

Unit cell a=6.695 b=6.695 c=5.094 alpha=90.00 beta=90.00 gamma=120.00
Sites, in units of the cell vectors:
Sr  0.000  0.000  0.000
Gd  0.333  0.667  0.500
Hg  0.000  0.500  0.000
Hg  0.347  0.174  0.500
Hg  0.500  0.000  0.000
Hg  0.500  0.500  0.000
Hg  0.826  0.174  0.500
Hg  0.826  0.653  0.500

Values from the calculation:
Volume = 198 Å³ per cell
Raw total energy = -11.02 eV/cell

TbGdHg2: optimized geometry, PBE-GGA.

Unit cell a=7.466 b=7.466 c=7.466 alpha=90.00 beta=90.00 gamma=90.00
Sites, in units of the cell vectors:
Tb  0.000  0.000  0.000
Tb  0.000  0.500  0.500
Tb  0.500  0.000  0.500
Tb  0.500  0.500  0.000
Gd  0.000  0.000  0.500
Gd  0.000  0.500  0.000
Gd  0.500  0.000  0.000
Gd  0.500  0.500  0.500
Hg  0.250  0.250  0.250
Hg  0.250  0.250  0.750
Hg  0.250  0.750  0.250
Hg  0.250  0.750  0.750
Hg  0.750  0.250  0.250
Hg  0.750  0.250  0.750
Hg  0.750  0.750  0.250
Hg  0.750  0.750  0.750

Values from the calculation:
Volume = 416 Å³ per cell
Energy of formation from the pure elements = -481 meV per atom

GdTcHg: optimized geometry, PBE-GGA.

Unit cell a=6.793 b=6.793 c=6.793 alpha=90.00 beta=90.00 gamma=90.00
Sites, in units of the cell vectors:
Gd  0.000  0.000  0.000
Gd  0.000  0.500  0.500
Gd  0.500  0.000  0.500
Gd  0.500  0.500  0.000
Tc  0.250  0.250  0.250
Tc  0.250  0.750  0.750
Tc  0.750  0.250  0.750
Tc  0.750  0.750  0.250
Hg  0.250  0.250  0.750
Hg  0.250  0.750  0.250
Hg  0.750  0.250  0.250
Hg  0.750  0.750  0.750

Values from the calculation:
Volume = 314 Å³ per cell
Energy of formation from the pure elements = 942 meV per atom

GdTlHgTe3: optimized geometry, PBE-GGA.

Unit cell a=8.043 b=8.043 c=11.647 alpha=90.00 beta=90.00 gamma=147.95
Sites, in units of the cell vectors:
Gd  0.000  0.000  0.000
Gd  0.000  0.000  0.500
Tl  0.240  0.760  0.750
Tl  0.760  0.240  0.250
Hg  0.462  0.538  0.250
Hg  0.538  0.462  0.750
Te  0.083  0.917  0.250
Te  0.361  0.639  0.048
Te  0.361  0.639  0.452
Te  0.639  0.361  0.548
Te  0.639  0.361  0.952
Te  0.917  0.083  0.750

Values from the calculation:
Volume = 400 Å³ per cell
Relative energy among the computed polymorphs = 0 meV per atom

GdTlHgTe3: optimized geometry, PBE-GGA.

Unit cell a=8.762 b=4.449 c=11.080 alpha=90.00 beta=107.35 gamma=90.00
Sites, in units of the cell vectors:
Gd  0.190  0.250  0.142
Gd  0.810  0.750  0.858
Tl  0.242  0.750  0.713
Tl  0.758  0.250  0.287
Hg  0.416  0.750  0.381
Hg  0.584  0.250  0.619
Te  0.056  0.250  0.853
Te  0.242  0.250  0.445
Te  0.440  0.750  0.133
Te  0.560  0.250  0.867
Te  0.758  0.750  0.555
Te  0.944  0.750  0.147

Values from the calculation:
Volume = 412 Å³ per cell
Relative energy among the computed polymorphs = 18 meV per atom

GdTlHgTe3: optimized geometry, PBE-GGA.

Unit cell a=11.682 b=4.462 c=15.361 alpha=90.00 beta=90.00 gamma=90.00
Sites, in units of the cell vectors:
Gd  0.015  0.250  0.247
Gd  0.485  0.750  0.747
Gd  0.515  0.250  0.253
Gd  0.985  0.750  0.753
Tl  0.230  0.750  0.512
Tl  0.270  0.250  0.012
Tl  0.730  0.750  0.988
Tl  0.770  0.250  0.488
Hg  0.241  0.250  0.714
Hg  0.259  0.750  0.214
Hg  0.741  0.250  0.786
Hg  0.759  0.750  0.286
Te  0.036  0.250  0.615
Te  0.063  0.750  0.107
Te  0.236  0.750  0.835
Te  0.264  0.250  0.335
Te  0.437  0.250  0.607
Te  0.464  0.750  0.115
Te  0.536  0.250  0.885
Te  0.563  0.750  0.393
Te  0.736  0.750  0.665
Te  0.764  0.250  0.165
Te  0.937  0.250  0.893
Te  0.964  0.750  0.385

Values from the calculation:
Volume = 801 Å³ per cell
Relative energy among the computed polymorphs = 0 meV per atom

GdTlHgTe3: optimized geometry, PBE-GGA.

Unit cell a=10.086 b=10.086 c=9.530 alpha=102.26 beta=102.26 gamma=25.31
Sites, in units of the cell vectors:
Gd  0.174  0.174  0.089
Gd  0.826  0.826  0.911
Tl  0.132  0.132  0.579
Tl  0.868  0.868  0.421
Hg  0.461  0.461  0.778
Hg  0.539  0.539  0.222
Te  0.000  0.000  0.000
Te  0.313  0.313  0.676
Te  0.333  0.333  0.138
Te  0.500  0.500  0.500
Te  0.667  0.667  0.862
Te  0.687  0.687  0.324

Values from the calculation:
Volume = 405 Å³ per cell
Relative energy among the computed polymorphs = 69 meV per atom

GdTlHgTe3: optimized geometry, PBE-GGA.

Unit cell a=8.934 b=4.672 c=18.624 alpha=90.00 beta=90.00 gamma=90.00
Sites, in units of the cell vectors:
Gd  0.223  0.250  0.040
Gd  0.277  0.750  0.540
Gd  0.723  0.250  0.460
Gd  0.777  0.750  0.960
Tl  0.083  0.250  0.807
Tl  0.417  0.750  0.307
Tl  0.583  0.250  0.693
Tl  0.917  0.750  0.193
Hg  0.043  0.250  0.337
Hg  0.457  0.750  0.837
Hg  0.543  0.250  0.163
Hg  0.957  0.750  0.663
Te  0.005  0.250  0.573
Te  0.127  0.750  0.942
Te  0.211  0.250  0.207
Te  0.289  0.750  0.707
Te  0.373  0.250  0.442
Te  0.495  0.750  0.073
Te  0.505  0.250  0.927
Te  0.627  0.750  0.558
Te  0.711  0.250  0.293
Te  0.789  0.750  0.793
Te  0.873  0.250  0.058
Te  0.995  0.750  0.427

Values from the calculation:
Volume = 777 Å³ per cell
Relative energy among the computed polymorphs = 78 meV per atom

GdTlHgTe3: optimized geometry, PBE-GGA.

Unit cell a=12.853 b=4.587 c=13.493 alpha=90.00 beta=90.00 gamma=90.00
Sites, in units of the cell vectors:
Gd  0.032  0.250  0.183
Gd  0.468  0.750  0.683
Gd  0.532  0.250  0.317
Gd  0.968  0.750  0.817
Tl  0.175  0.250  0.491
Tl  0.325  0.750  0.991
Tl  0.675  0.250  0.009
Tl  0.825  0.750  0.509
Hg  0.246  0.750  0.302
Hg  0.254  0.250  0.802
Hg  0.746  0.750  0.198
Hg  0.754  0.250  0.698
Te  0.029  0.750  0.345
Te  0.084  0.250  0.935
Te  0.229  0.750  0.672
Te  0.271  0.250  0.172
Te  0.416  0.750  0.435
Te  0.471  0.250  0.845
Te  0.529  0.750  0.155
Te  0.584  0.250  0.565
Te  0.729  0.750  0.828
Te  0.771  0.250  0.328
Te  0.916  0.750  0.065
Te  0.971  0.250  0.655

Values from the calculation:
Volume = 795 Å³ per cell
Relative energy among the computed polymorphs = 56 meV per atom

GdTlHgTe3: optimized geometry, PBE-GGA.

Unit cell a=15.259 b=4.480 c=11.913 alpha=90.00 beta=90.00 gamma=90.00
Sites, in units of the cell vectors:
Gd  0.026  0.250  0.158
Gd  0.474  0.750  0.658
Gd  0.526  0.250  0.342
Gd  0.974  0.750  0.842
Tl  0.238  0.250  0.449
Tl  0.262  0.750  0.949
Tl  0.738  0.250  0.051
Tl  0.762  0.750  0.551
Hg  0.020  0.750  0.392
Hg  0.480  0.250  0.892
Hg  0.520  0.750  0.108
Hg  0.980  0.250  0.608
Te  0.100  0.750  0.624
Te  0.101  0.250  0.920
Te  0.158  0.750  0.233
Te  0.342  0.250  0.733
Te  0.399  0.750  0.420
Te  0.400  0.250  0.124
Te  0.600  0.750  0.876
Te  0.601  0.250  0.580
Te  0.658  0.750  0.267
Te  0.842  0.250  0.767
Te  0.899  0.750  0.080
Te  0.900  0.250  0.376

Values from the calculation:
Volume = 814 Å³ per cell
Relative energy among the computed polymorphs = 14 meV per atom

GdTm2Hg: optimized geometry, PBE-GGA.

Unit cell a=6.804 b=11.863 c=5.381 alpha=90.00 beta=90.00 gamma=90.00
Sites, in units of the cell vectors:
Gd  0.000  0.175  0.250
Gd  0.000  0.825  0.750
Gd  0.500  0.325  0.750
Gd  0.500  0.675  0.250
Tm  0.244  0.416  0.250
Tm  0.244  0.584  0.750
Tm  0.256  0.084  0.750
Tm  0.256  0.916  0.250
Tm  0.744  0.084  0.750
Tm  0.744  0.916  0.250
Tm  0.756  0.416  0.250
Tm  0.756  0.584  0.750
Hg  0.000  0.337  0.750
Hg  0.000  0.663  0.250
Hg  0.500  0.163  0.250
Hg  0.500  0.837  0.750

Values from the calculation:
Volume = 434 Å³ per cell
Relative energy among the computed polymorphs = 0 meV per atom
Energy of formation from the pure elements = -165 meV per atom

Number 1: magnetic moment 0.0 Bohr magnetons per cell. Number 2: magnetic moment 0.0 Bohr magnetons per cell. Number 3: magnetic moment 0.5 Bohr magnetons per cell. Number 4: magnetic moment 7.7 Bohr magnetons per cell. Number 5: magnetic moment 0.0 Bohr magnetons per cell. Number 6: magnetic moment 0.0 Bohr magnetons per cell. Number 7: magnetic moment 0.0 Bohr magnetons per cell. Number 8: magnetic moment 0.0 Bohr magnetons per cell. Number 9: magnetic moment 0.0 Bohr magnetons per cell. Number 10: magnetic moment 0.0 Bohr magnetons per cell. Number 11: magnetic moment 0.0 Bohr magnetons per cell. Number 12: magnetic moment 0.0 Bohr magnetons per cell.